Crystalline Ce4GeTe2S at its relaxed geometry. Source: the Alexandria database, functional PBE.

Values from the calculation:
The density of states at the Fermi level is 50.28 states/eV per cell. As for the formation energy without anion corrections: -1.385 eV/atom. As for the density: 6.71 Mg/m³. As for the space group: Imma (74).

Lattice parameters (Å, degrees): 8.6366 8.6366 8.6366 120.22 119.79 89.99
Positions (direct):
Ce1 0.2610 0.2455 0.4845
Ce2 0.2610 0.7764 0.0155
Ce3 0.2655 0.2419 0.0236
Ce4 0.2816 0.7581 0.5236
Ce5 0.7184 0.2419 0.4764
Ce6 0.7345 0.7581 0.9764
Ce7 0.7390 0.2236 0.9845
Ce8 0.7390 0.7545 0.5155
Ge1 0.0000 0.0000 0.0000
Ge2 0.5000 0.0000 0.5000
Te1 0.0000 0.0000 0.5000
Te2 0.0000 0.5000 0.0000
Te3 0.0000 0.5000 0.5000
Te4 0.5000 0.5000 0.0000
S1 0.5000 0.0000 0.0000
S2 0.5000 0.5000 0.5000